(1)
NbSbOs | PBE-GGA | optimized geometry

a b c (Å): 6.6745 6.6745 4.2533
angles (deg): 90.00 90.00 120.00
Last column: nearest neighbours and their distance in Å.
Element x y z (fractional)
Nb (0.0000, 0.5734, 0.0000)  5 Sb 2.85-2.91, 2 Os 3.06
Nb (0.4266, 0.4266, 0.0000)  5 Sb 2.85-2.91, 2 Os 3.06
Nb (0.5734, 0.0000, 0.0000)  5 Sb 2.85-2.91, 2 Os 3.06
Sb (0.0000, 0.0000, 0.0000)  6 Os 2.68, 3 Nb 2.85
Sb (0.3333, 0.6667, 0.5000)  3 Os 2.58
Sb (0.6667, 0.3333, 0.5000)  3 Os 2.58
Os (0.0000, 0.2436, 0.5000)  4 Sb 2.58-2.68, 2 Os 2.82
Os (0.2436, 0.0000, 0.5000)  4 Sb 2.58-2.68, 2 Os 2.82
Os (0.7564, 0.7564, 0.5000)  4 Sb 2.58-2.68, 2 Os 2.82

Computed properties:
Magnetization (μB/f.u.): 0.4
Crystal system: hexagonal
Electronic total energy (eV/cell): -74.8
Space group: P-62m (189)

(2)
Nb6SbOs | PBE-GGA | optimized geometry

a b c (Å): 5.2408 5.2408 5.2408
angles (deg): 90.00 90.00 90.00
Last column: nearest neighbours and their distance in Å.
Element x y z (fractional)
Nb (0.0000, 0.2559, 0.5000)  2 Nb 2.56-2.68
Nb (0.0000, 0.7441, 0.5000)  2 Nb 2.56-2.68
Nb (0.2559, 0.5000, 0.0000)  2 Nb 2.56-2.68
Nb (0.5000, 0.0000, 0.2559)  2 Nb 2.56-2.68
Nb (0.5000, 0.0000, 0.7441)  2 Nb 2.56-2.68
Nb (0.7441, 0.5000, 0.0000)  2 Nb 2.56-2.68
Sb (0.0000, 0.0000, 0.0000)  12 Nb 2.94
Os (0.5000, 0.5000, 0.5000)  12 Nb 2.92

Computed properties:
Magnetization (μB/f.u.): 0.0
Crystal system: cubic
Electronic total energy (eV/cell): -77.5
Space group: Pm-3 (200)

(3)
Nb2SbOs | PBE-GGA | optimized geometry

a b c (Å): 4.6328 4.6328 4.6328
angles (deg): 60.00 60.00 60.00
Last column: nearest neighbours and their distance in Å.
Element x y z (fractional)
Nb (0.0000, 0.0000, 0.0000)  4 Nb 2.84, 4 Os 2.84
Nb (0.2500, 0.2500, 0.2500)  4 Nb 2.84, 4 Sb 2.84
Sb (0.5000, 0.5000, 0.5000)  4 Nb 2.84, 4 Os 2.84
Os (0.7500, 0.7500, 0.7500)  4 Sb 2.84, 4 Nb 2.84

Computed properties:
Magnetization (μB/f.u.): 0.0
Crystal system: cubic
Electronic total energy (eV/cell): -35.0
Space group: F-43m (216)

(4)
NbSbOs | PBE-GGA | optimized geometry

a b c (Å): 7.0395 7.0395 3.9133
angles (deg): 90.00 90.00 120.00
Last column: nearest neighbours and their distance in Å.
Element x y z (fractional)
Nb (0.0000, 0.6068, 0.0000)  5 Os 2.77-2.92, 2 Sb 3.06
Nb (0.3932, 0.3932, 0.0000)  5 Os 2.77-2.92, 2 Sb 3.06
Nb (0.6068, 0.0000, 0.0000)  5 Os 2.77-2.92, 2 Sb 3.06
Sb (0.0000, 0.2718, 0.5000)  4 Os 2.59-2.74
Sb (0.2718, 0.0000, 0.5000)  4 Os 2.59-2.74
Sb (0.7282, 0.7282, 0.5000)  4 Os 2.59-2.74
Os (0.0000, 0.0000, 0.0000)  6 Sb 2.74, 3 Nb 2.77
Os (0.3333, 0.6667, 0.5000)  3 Sb 2.59
Os (0.6667, 0.3333, 0.5000)  3 Sb 2.59

Computed properties:
Magnetization (μB/f.u.): 0.0
Crystal system: hexagonal
Electronic total energy (eV/cell): -75.2
Space group: P-62m (189)

(5)
NbSbOs | PBE-GGA | optimized geometry

a b c (Å): 6.6349 4.3124 7.6704
angles (deg): 90.00 90.00 90.00
Last column: nearest neighbours and their distance in Å.
Element x y z (fractional)
Nb (0.0173, 0.2500, 0.2054)  5 Sb 2.82-3.05, 3 Os 2.87-2.95
Nb (0.4827, 0.7500, 0.7054)  5 Sb 2.82-3.05, 3 Os 2.87-2.95
Nb (0.5173, 0.2500, 0.2946)  5 Sb 2.82-3.05, 3 Os 2.87-2.95
Nb (0.9827, 0.7500, 0.7946)  5 Sb 2.82-3.05, 3 Os 2.87-2.95
Sb (0.2415, 0.2500, 0.8927)  4 Os 2.60-2.67, 3 Nb 2.82-2.86
Sb (0.2585, 0.7500, 0.3927)  4 Os 2.60-2.67, 3 Nb 2.82-2.86
Sb (0.7415, 0.2500, 0.6073)  4 Os 2.60-2.67, 3 Nb 2.82-2.86
Sb (0.7585, 0.7500, 0.1073)  4 Os 2.60-2.67, 3 Nb 2.82-2.86
Os (0.1311, 0.2500, 0.5659)  4 Sb 2.60-2.67, 1 Nb 2.87
Os (0.3689, 0.7500, 0.0659)  4 Sb 2.60-2.67, 1 Nb 2.87
Os (0.6311, 0.2500, 0.9341)  4 Sb 2.60-2.67, 1 Nb 2.87
Os (0.8689, 0.7500, 0.4341)  4 Sb 2.60-2.67, 1 Nb 2.87

Computed properties:
Magnetization (μB/f.u.): 0.0
Crystal system: orthorhombic
Electronic total energy (eV/cell): -100.5
Space group: Pnma (62)

(6)
NbSbOs | PBE-GGA | optimized geometry

a b c (Å): 6.9332 3.7402 8.9574
angles (deg): 90.00 90.00 90.00
Last column: nearest neighbours and their distance in Å.
Element x y z (fractional)
Nb (0.2312, 0.2500, 0.1659)  4 Os 2.81-2.84, 5 Sb 2.84-2.92
Nb (0.2688, 0.7500, 0.6659)  4 Os 2.81-2.84, 5 Sb 2.84-2.92
Nb (0.7312, 0.2500, 0.3341)  4 Os 2.81-2.84, 5 Sb 2.84-2.92
Nb (0.7688, 0.7500, 0.8341)  4 Os 2.81-2.84, 5 Sb 2.84-2.92
Sb (0.0912, 0.2500, 0.8603)  5 Nb 2.84-2.92, 2 Os 2.97
Sb (0.4088, 0.7500, 0.3603)  5 Nb 2.84-2.92, 2 Os 2.97
Sb (0.5912, 0.2500, 0.6397)  5 Nb 2.84-2.92, 2 Os 2.97
Sb (0.9088, 0.7500, 0.1397)  5 Nb 2.84-2.92, 2 Os 2.97
Os (0.1047, 0.2500, 0.4638)  2 Os 2.45
Os (0.3953, 0.7500, 0.9638)  2 Os 2.45
Os (0.6047, 0.2500, 0.0362)  2 Os 2.45
Os (0.8953, 0.7500, 0.5362)  2 Os 2.45

Computed properties:
Magnetization (μB/f.u.): 0.0
Crystal system: orthorhombic
Electronic total energy (eV/cell): -99.4
Space group: Pnma (62)

(7)
NbSbOs | PBE-GGA | optimized geometry

a b c (Å): 4.6526 4.6526 5.6496
angles (deg): 90.00 90.00 120.00
Last column: nearest neighbours and their distance in Å.
Element x y z (fractional)
Nb (0.0000, 0.0000, 0.0000)  2 Nb 2.82, 6 Sb 3.03, 6 Os 3.03
Nb (0.0000, 0.0000, 0.5000)  2 Nb 2.82, 6 Sb 3.03, 6 Os 3.03
Sb (0.3333, 0.6667, 0.2500)  5 Os 2.69-2.82
Sb (0.6667, 0.3333, 0.7500)  5 Os 2.69-2.82
Os (0.3333, 0.6667, 0.7500)  5 Sb 2.69-2.82
Os (0.6667, 0.3333, 0.2500)  5 Sb 2.69-2.82

Computed properties:
Magnetization (μB/f.u.): 0.0
Crystal system: hexagonal
Electronic total energy (eV/cell): -50.0
Space group: P6_3/mmc (194)

(8)
NbSbOs | PBE-GGA | optimized geometry

a b c (Å): 4.4595 4.4595 6.6489
angles (deg): 90.00 90.00 120.00
Last column: nearest neighbours and their distance in Å.
Element x y z (fractional)
Nb (0.0000, 0.0000, 0.0000)  3 Os 2.71, 3 Sb 3.01
Nb (0.0000, 0.0000, 0.5000)  3 Os 2.71, 3 Sb 3.01
Sb (0.3333, 0.6667, 0.2668)  4 Os 2.61-2.67
Sb (0.6667, 0.3333, 0.7668)  4 Os 2.61-2.67
Os (0.3333, 0.6667, 0.8741)  4 Sb 2.61-2.67, 3 Nb 2.71
Os (0.6667, 0.3333, 0.3741)  4 Sb 2.61-2.67, 3 Nb 2.71

Computed properties:
Magnetization (μB/f.u.): 0.0
Crystal system: hexagonal
Electronic total energy (eV/cell): -50.6
Space group: P6_3mc (186)

(9)
TaNbSb2Os2 | PBE-GGA | optimized geometry

a b c (Å): 8.8009 4.4005 13.2015
angles (deg): 90.00 109.47 90.00
Last column: nearest neighbours and their distance in Å.
Element x y z (fractional)
Ta (0.0000, 0.0000, 0.0000)  4 Os 2.69
Ta (0.1250, 0.5000, 0.7500)  4 Os 2.69-2.70
Ta (0.2499, 0.0000, 0.5000)  4 Os 2.69
Ta (0.5001, 0.0000, 0.0001)  4 Os 2.69-2.70
Nb (0.3750, 0.5000, 0.2501)  4 Os 2.70
Nb (0.6252, 0.5000, 0.7502)  4 Os 2.70
Nb (0.7503, 0.0000, 0.5002)  4 Os 2.70
Nb (0.8752, 0.5000, 0.2500)  4 Os 2.70
Sb (0.9999, 0.5000, 0.5000)  4 Os 2.69
Sb (0.1251, 0.0000, 0.2501)  4 Os 2.69-2.70
Sb (0.2502, 0.5000, 0.0002)  4 Os 2.69-2.70
Sb (0.3753, 0.0000, 0.7501)  4 Os 2.70
Sb (0.5002, 0.5000, 0.5000)  4 Os 2.69-2.70
Sb (0.6251, 0.0000, 0.2501)  4 Os 2.70
Sb (0.7501, 0.5000, 0.0001)  4 Os 2.69
Sb (0.8748, 0.0000, 0.7499)  4 Os 2.69-2.70
Os (0.0623, 0.5000, 0.1246)  4 Sb 2.69-2.70, 2 Ta 2.69, 2 Nb 2.70
Os (0.1876, 0.0000, 0.8751)  4 Ta 2.69-2.70, 4 Sb 2.70
Os (0.3118, 0.5000, 0.6248)  4 Sb 2.69-2.70, 3 Ta 2.69, 1 Nb 2.70
Os (0.4371, 0.0000, 0.3752)  1 Ta 2.69, 4 Sb 2.69-2.70, 3 Nb 2.70
Os (0.5624, 0.5000, 0.1245)  4 Sb 2.69-2.70, 2 Ta 2.69, 2 Nb 2.70
Os (0.6879, 0.0000, 0.8756)  2 Ta 2.69, 4 Sb 2.69-2.70, 2 Nb 2.70
Os (0.8134, 0.5000, 0.6254)  1 Ta 2.69, 4 Sb 2.69-2.70, 3 Nb 2.70
Os (0.9383, 0.0000, 0.3753)  1 Ta 2.69, 4 Sb 2.69-2.70, 3 Nb 2.70

Computed properties:
Magnetization (μB/f.u.): 0.0
Crystal system: monoclinic
Electronic total energy (eV/cell): -216.8
Space group: Pm (6)

(10)
ScNbOs | PBE-GGA | optimized geometry

a b c (Å): 4.4128 4.4128 4.4128
angles (deg): 60.00 60.00 60.00
Last column: nearest neighbours and their distance in Å.
Element x y z (fractional)
Sc (0.0000, 0.0000, 0.0000)  4 Os 2.70
Nb (0.5000, 0.5000, 0.5000)  4 Os 2.70
Os (0.7500, 0.7500, 0.7500)  4 Nb 2.70, 4 Sc 2.70

Computed properties:
Magnetization (μB/f.u.): 0.0
Crystal system: cubic
Formation energy (eV/atom): -0.015
Electronic total energy (eV/cell): -27.7
Space group: F-43m (216)
Relative energy among the computed polymorphs (eV per atom): 0.000

For the records above, the corresponding V values read 164.1 143.9 70.3 167.9 219.5 232.3 105.9 114.5 482.0 60.8 Å³/cell.